1.
First-principles (GGA-PBEsol) data for a relaxed structure of ZrBeZn2, as listed in the Alexandria database.

Summary:
energy	-31.30	eV/cell
ρ	6.3	g/cm³
formation energy from the elements	0.1515	eV per atom

Cell: 5.437 8.701 2.580 Å, 90.00 90.00 90.00°
Space group Cmmm (No. 65)
Symmetry-distinct sites (fractional):
Zr 0.000 0.000 0.000 [2 per cell]
Be 0.000 0.500 0.000 [2 per cell]
Zn 0.250 0.250 0.500 [4 per cell]

***

2.
First-principles (GGA-PBEsol) data for a relaxed structure of Li8Ti7Nb6O30, as listed in the Alexandria database.

Summary:
energy	-429.16	eV/cell
ρ	4.3	g/cm³
formation energy without anion corrections	-12809.8	kJ/mol of formula units

Cell: 5.1284 5.1284 24.0441 Å, 90.00 90.00 120.00°
Space group P3 (No. 143)
Symmetry-distinct sites (fractional):
Li 0.0000 0.0000 0.0000 [1 per cell]
Li 0.0000 0.0000 0.1608 [1 per cell]
Li 0.0000 0.0000 0.4484 [1 per cell]
Li 0.0000 0.0000 0.7073 [1 per cell]
Li 0.3333 0.6667 0.6090 [1 per cell]
Li 0.3333 0.6667 0.8725 [1 per cell]
Li 0.6667 0.3333 0.2854 [1 per cell]
Li 0.6667 0.3333 0.5502 [1 per cell]
Ti 0.3333 0.6667 0.0958 [1 per cell]
Ti 0.3333 0.6667 0.3688 [1 per cell]
Ti 0.3333 0.6667 0.7697 [1 per cell]
Ti 0.6667 0.3333 0.0694 [1 per cell]
Ti 0.6667 0.3333 0.1860 [1 per cell]
Ti 0.6667 0.3333 0.3886 [1 per cell]
Ti 0.6667 0.3333 0.7883 [1 per cell]
Nb 0.0000 0.0000 0.2803 [1 per cell]
Nb 0.0000 0.0000 0.5790 [1 per cell]
Nb 0.0000 0.0000 0.8754 [1 per cell]
Nb 0.3333 0.6667 0.4833 [1 per cell]
Nb 0.3333 0.6667 0.9754 [1 per cell]
Nb 0.6667 0.3333 0.6752 [1 per cell]
O 0.0086 0.3739 0.4268 [3 per cell]
O 0.0151 0.3458 0.8252 [3 per cell]
O 0.0161 0.3769 0.0340 [3 per cell]
O 0.0368 0.7034 0.5299 [3 per cell]
O 0.0760 0.7463 0.9274 [3 per cell]
O 0.3327 0.0369 0.6285 [3 per cell]
O 0.3345 0.0830 0.2317 [3 per cell]
O 0.3440 0.3303 0.3335 [3 per cell]
O 0.3716 0.3633 0.7315 [3 per cell]
O 0.3847 0.3651 0.1289 [3 per cell]

***

3.
First-principles (GGA-PBEsol) data for a relaxed structure of LiMgSi2, as listed in the Alexandria database.

Summary:
energy	-15.51	eV/cell
ρ	2.4	g/cm³
formation energy without anion corrections	-31.7	kJ/mol of formula units

Cell: 3.873 3.873 4.042 Å, 90.00 90.00 90.00°
Space group P4/mmm (No. 123)
Symmetry-distinct sites (fractional):
Li 0.000 0.000 0.000 [1 per cell]
Mg 0.500 0.500 0.000 [1 per cell]
Si 0.000 0.500 0.500 [2 per cell]

***

4.
First-principles (GGA-PBEsol) data for a relaxed structure of Sb3WS, as listed in the Alexandria database.

Summary:
energy	-28.78	eV/cell
ρ	7.2	g/cm³
formation energy without anion corrections	297.8	kJ/mol of formula units

Cell: 5.109 5.109 5.109 Å, 90.00 90.00 90.00°
Space group Pm-3m (No. 221)
Symmetry-distinct sites (fractional):
Sb 0.000 0.000 0.500 [3 per cell]
W 0.000 0.000 0.000 [1 per cell]
S 0.500 0.500 0.500 [1 per cell]

***

5.
First-principles (GGA-PBEsol) data for a relaxed structure of PtAu2, as listed in the Alexandria database.

Summary:
energy	-43.53	eV/cell
ρ	19.9	g/cm³
formation energy from the elements	0.1006	eV per atom

Cell: 7.8354 7.8354 2.7796 Å, 90.00 90.00 120.00°
Space group P-62m (No. 189)
Symmetry-distinct sites (fractional):
Pt 0.0000 0.0000 0.0000 [1 per cell]
Pt 0.3333 0.6667 0.5000 [2 per cell]
Au 0.0000 0.3627 0.0000 [3 per cell]
Au 0.0000 0.6942 0.5000 [3 per cell]

***

6.
First-principles (GGA-PBEsol) data for a relaxed structure of LaTlPb2, as listed in the Alexandria database.

Summary:
energy	-17.21	eV/cell
ρ	10.7	g/cm³
formation energy from the elements	-0.3092	eV per atom

Cell: 3.584 4.855 6.746 Å, 90.00 90.00 90.00°
Space group Pmmm (No. 47)
Symmetry-distinct sites (fractional):
La 0.000 0.000 0.000 [1 per cell]
Tl 0.000 0.000 0.500 [1 per cell]
Pb 0.500 0.500 0.250 [2 per cell]

***

7.
First-principles (GGA-PBEsol) data for a relaxed structure of BeNi2Br, as listed in the Alexandria database.

Summary:
energy	-64.85	eV/cell
ρ	7.2	g/cm³
formation energy without anion corrections	190.3	kJ/mol of formula units

Cell: 5.756 5.756 5.756 Å, 90.00 90.00 90.00°
Space group Fm-3m (No. 225)
Symmetry-distinct sites (fractional):
Be 0.000 0.000 0.000 [4 per cell]
Ni 0.250 0.250 0.250 [8 per cell]
Br 0.000 0.000 0.500 [4 per cell]

***

8.
First-principles (GGA-PBEsol) data for a relaxed structure of Li2MgIn, as listed in the Alexandria database.

Summary:
energy	-9.53	eV/cell
ρ	3.4	g/cm³
formation energy from the elements	-0.2249	eV per atom

Cell: 4.653 4.653 3.419 Å, 90.00 90.00 90.00°
Space group P4/mmm (No. 123)
Symmetry-distinct sites (fractional):
Li 0.000 0.500 0.000 [2 per cell]
Mg 0.000 0.000 0.500 [1 per cell]
In 0.500 0.500 0.500 [1 per cell]

***

Summary of magnetic moment in μB/cell
0.0; 0.3; 0.0; 0.0; 0.0; 0.0; 0.0; 0.0
(order as listed above)